Material: PaHgPt
Method: DFT, PBE
State: optimized geometry

Computed properties:
**E above lowest polymorph**: 0.0 meV/atom

Lattice parameters (Å, degrees): 4.823 4.823 4.823 60.00 60.00 60.00
Fractional coordinates of all 3 atoms:
Hg 0.250 0.250 0.250
Pa 0.000 0.000 0.000
Pt 0.750 0.750 0.750



Material: PuPaHg
Method: DFT, PBE
State: optimized geometry

Computed properties:
**Raw total energy**: -22.829 eV/cell

Lattice parameters (Å, degrees): 4.847 4.847 4.847 60.00 60.00 60.00
Fractional coordinates of all 3 atoms:
Pu 0.000 0.000 0.000
Hg 0.250 0.250 0.250
Pa 0.750 0.750 0.750



Material: ScPaHg
Method: DFT, PBE
State: optimized geometry

Computed properties:
**Raw total energy**: -14.018 eV/cell

Lattice parameters (Å, degrees): 4.842 4.842 4.842 60.00 60.00 60.00
Fractional coordinates of all 3 atoms:
Pa 0.750 0.750 0.750
Hg 0.250 0.250 0.250
Sc 0.000 0.000 0.000



Material: PaTaHg
Method: DFT, PBE
State: optimized geometry

Computed properties:
**E above lowest polymorph**: 0.0 meV/atom

Lattice parameters (Å, degrees): 4.748 4.748 4.748 60.00 60.00 60.00
Fractional coordinates of all 3 atoms:
Pa 0.500 0.500 0.500
Hg 0.000 0.000 0.000
Ta 0.250 0.250 0.250



Material: PaTaHg
Method: DFT, PBE
State: optimized geometry

Computed properties:
**E above lowest polymorph**: 364.5 meV/atom

Lattice parameters (Å, degrees): 4.861 4.861 4.861 60.00 60.00 60.00
Fractional coordinates of all 3 atoms:
Pa 0.000 0.000 0.000
Hg 0.250 0.250 0.250
Ta 0.750 0.750 0.750



Material: TmPaHg
Method: DFT, PBE
State: optimized geometry

Computed properties:
**E above lowest polymorph**: 0.0 meV/atom

Lattice parameters (Å, degrees): 5.039 5.039 5.039 60.00 60.00 60.00
Fractional coordinates of all 3 atoms:
Pa 0.250 0.250 0.250
Hg 0.000 0.000 0.000
Tm 0.750 0.750 0.750



Material: PaHgW
Method: DFT, PBE
State: optimized geometry

Computed properties:
**E above lowest polymorph**: 0.0 meV/atom

Lattice parameters (Å, degrees): 4.698 4.698 4.698 60.00 60.00 60.00
Fractional coordinates of all 3 atoms:
Hg 0.250 0.250 0.250
W 0.000 0.000 0.000
Pa 0.750 0.750 0.750



Material: PaHgW
Method: DFT, PBE
State: optimized geometry

Computed properties:
**E above lowest polymorph**: 444.9 meV/atom

Lattice parameters (Å, degrees): 4.791 4.791 4.791 60.00 60.00 60.00
Fractional coordinates of all 3 atoms:
W 0.750 0.750 0.750
Pa 0.000 0.000 0.000
Hg 0.250 0.250 0.250



What did we get for size of the total moment? Answer: 0.17, 6.99, 2.18, 0.00, 1.21, 1.96, 0.02, 0.04 μB per cell, in the order shown.